A plane-wave DFT calculation with PBE-GGA was carried out for a geometry-optimized SmU2Ru2 structure.

```
data_SmU2Ru2
_space_group_name_H-M_alt 'C 1 2/c 1'
_space_group_IT_number 15
_space_group_name_Hall '-C 2yc'
_cell_length_a 16.010
_cell_length_b 4.626
_cell_length_c 5.988
_cell_angle_alpha 90.00
_cell_angle_beta 105.84
_cell_angle_gamma 90.00
loop_
_atom_site_label
_atom_site_type_symbol
_atom_site_fract_x
_atom_site_fract_y
_atom_site_fract_z
_atom_site_occupancy
Sm1 Sm 0.000 0.214 0.250 1
U1 U 0.205 0.127 0.655 1
Ru1 Ru 0.126 0.318 0.947 1
```

Properties
The energy of formation from the pure elements is -0.1674 eV per atom. As for the electronic total energy: -9.34 eV/atom.